This record from Alexandria via LeMat-Bulk describes an optimized crystal structure of BeOs2Pt. The functional is GGA-PBE.

Summary:
**Crystal system**: monoclinic
**VASP energy**: -7.717 eV/atom
**Space group**: No. 12

Structure (POSCAR):
```
BeOs2Pt
1.0
4.499 -0.005 -0.016
-2.199 4.838 0.003
0.100 0.758 2.594
Be Os Pt
1 2 1
direct
0.500 0.500 0.000 Be
0.000 0.000 0.000 Os
0.500 0.000 0.500 Os
0.000 0.500 0.500 Pt
```

This record from Alexandria via LeMat-Bulk describes an optimized crystal structure of Zn2CdRe. The functional is GGA-PBE.

Summary:
**Crystal system**: orthorhombic
**VASP energy**: -3.694 eV/atom
**Space group**: No. 65

Structure (POSCAR):
```
Zn2CdRe
1.0
2.802 -0.112 0.000
-1.158 2.554 0.000
0.000 0.000 9.287
Cd Re Zn
1 1 2
direct
0.500 0.500 0.250 Cd
0.500 0.500 0.750 Re
0.000 0.000 0.985 Zn
0.000 0.000 0.515 Zn
```

This record from Alexandria via LeMat-Bulk describes an optimized crystal structure of KBiPd. The functional is GGA-PBE.

Summary:
**Crystal system**: monoclinic
**E above lowest polymorph**: 0.144 eV per atom
**Space group**: No. 12

Structure (POSCAR):
```
KBiPd
1.0
4.696 0.000 0.000
0.000 7.425 0.242
-2.348 -1.495 5.885
Pd Bi K
2 2 2
direct
0.606 0.454 0.212 Pd
0.394 0.546 0.788 Pd
0.179 0.331 0.357 Bi
0.821 0.669 0.643 Bi
0.882 0.195 0.764 K
0.118 0.805 0.236 K
```

This record from Alexandria via LeMat-Bulk describes an optimized crystal structure of TbSm3Sc. The functional is GGA-PBE.

Summary:
**Crystal system**: orthorhombic
**E above lowest polymorph**: 0.118 eV per atom
**Space group**: No. 57

Structure (POSCAR):
```
TbSm3Sc
1.0
3.521 0.000 0.000
0.000 10.645 0.000
0.000 0.000 17.372
Tb Sm Sc
4 12 4
direct
0.754 0.250 0.897 Tb
0.754 0.750 0.603 Tb
0.246 0.750 0.103 Tb
0.246 0.250 0.397 Tb
0.753 0.500 0.750 Sm
0.247 0.000 0.250 Sm
0.247 0.500 0.250 Sm
0.753 0.000 0.750 Sm
0.252 0.561 0.923 Sm
0.252 0.439 0.577 Sm
0.748 0.061 0.077 Sm
0.748 0.939 0.423 Sm
0.252 0.061 0.577 Sm
0.252 0.939 0.923 Sm
0.748 0.561 0.423 Sm
0.748 0.439 0.077 Sm
0.746 0.250 0.228 Sc
0.746 0.750 0.272 Sc
0.254 0.750 0.772 Sc
0.254 0.250 0.728 Sc
```

This record from Alexandria via LeMat-Bulk describes an optimized crystal structure of Ca2FePt. The functional is GGA-PBE.

Summary:
**Crystal system**: cubic
**VASP energy**: -4.598 eV/atom
**Space group**: No. 216

Structure (POSCAR):
```
Ca2FePt
1.0
-4.082 -2.427 -1.055
-1.078 -1.051 -4.626
0.241 -4.598 -1.569
Ca Fe Pt
2 1 1
direct
0.000 0.000 0.000 Ca
0.250 0.250 0.250 Ca
0.500 0.500 0.500 Fe
0.750 0.750 0.750 Pt
```

This record from Alexandria via LeMat-Bulk describes an optimized crystal structure of Mg2GaTcH. The functional is GGA-PBE.

Summary:
**Crystal system**: tetragonal
**VASP energy**: -3.974 eV/atom
**Space group**: No. 123

Structure (POSCAR):
```
Mg2GaTcH
1.0
4.357 0.000 0.000
0.000 4.357 0.000
0.000 0.000 3.625
H Mg Tc Ga
1 2 1 1
direct
0.000 0.000 0.000 H
0.000 0.500 0.000 Mg
0.500 0.000 0.000 Mg
0.000 0.000 0.500 Tc
0.500 0.500 0.500 Ga
```

This record from Alexandria via LeMat-Bulk describes an optimized crystal structure of TbCrCl6. The functional is GGA-PBE.

Summary:
**Crystal system**: trigonal
**Formation energy from raw total energies**: -1606 meV per atom
**Space group**: No. 148

Structure (POSCAR):
```
TbCrCl6
1.0
-0.147 4.836 4.158
2.940 -0.547 5.634
5.754 3.563 0.954
Tb Cr Cl
1 1 6
direct
0.500 0.500 0.500 Tb
0.000 0.000 0.000 Cr
0.083 0.381 0.764 Cl
0.772 0.083 0.764 Cl
0.619 0.228 0.236 Cl
0.228 0.917 0.236 Cl
0.917 0.619 0.236 Cl
0.381 0.772 0.764 Cl
```

This record from Alexandria via LeMat-Bulk describes an optimized crystal structure of BaTcSnP. The functional is GGA-PBE.

Summary:
**Crystal system**: tetragonal
**VASP energy**: -6.021 eV/atom
**Space group**: No. 129

Structure (POSCAR):
```
BaTcSnP
1.0
-2.500 0.954 -3.258
-3.093 -2.308 1.697
-3.974 9.644 5.874
Ba Tc Sn P
2 2 2 2
direct
0.750 0.750 0.237 Ba
0.250 0.250 0.763 Ba
0.750 0.250 0.000 Tc
0.250 0.750 0.000 Tc
0.250 0.750 0.500 Sn
0.750 0.250 0.500 Sn
0.750 0.750 0.908 P
0.250 0.250 0.092 P
```

This record from Alexandria via LeMat-Bulk describes an optimized crystal structure of Ni3PdAu. The functional is GGA-PBE.

Summary:
**Crystal system**: cubic
**E above lowest polymorph**: 0.000 eV per atom
**Space group**: No. 221

Structure (POSCAR):
```
Ni3PdAu
1.0
4.533 0.000 0.000
0.000 4.533 0.000
0.000 0.000 4.533
Ni Au Pd
3 1 1
direct
0.000 0.500 0.000 Ni
0.000 0.000 0.500 Ni
0.500 0.000 0.000 Ni
0.500 0.500 0.500 Au
0.000 0.000 0.000 Pd
```

This record from Alexandria via LeMat-Bulk describes an optimized crystal structure of NpTlF5. The functional is GGA-PBE.

Summary:
**Crystal system**: orthorhombic
**Formation energy from raw total energies**: -3031 meV per atom
**Space group**: No. 71

Structure (POSCAR):
```
NpTlF5
1.0
4.291 0.000 1.542
1.741 6.140 1.897
0.030 0.079 6.657
Np Tl F
1 1 5
direct
0.500 0.500 0.500 Np
0.000 0.000 0.000 Tl
0.500 0.228 0.772 F
0.500 0.772 0.228 F
0.717 0.283 0.283 F
0.283 0.717 0.717 F
0.000 0.500 0.500 F
```

This record from Alexandria via LeMat-Bulk describes an optimized crystal structure of BiB2Cl. The functional is GGA-PBE.

Summary:
**Crystal system**: tetragonal
**Formation energy from raw total energies**: 1463 meV per atom
**E above lowest polymorph**: 0.000 eV per atom
**Space group**: No. 122

Structure (POSCAR):
```
BiB2Cl
1.0
5.133 0.000 0.000
0.000 5.133 0.000
2.567 2.567 6.203
B Bi Cl
4 2 2
direct
0.605 0.125 0.250 B
0.145 0.625 0.250 B
0.375 0.395 0.750 B
0.875 0.855 0.750 B
0.000 0.000 0.000 Bi
0.750 0.250 0.500 Bi
0.500 0.500 0.000 Cl
0.250 0.750 0.500 Cl
```

This record from Alexandria via LeMat-Bulk describes an optimized crystal structure of PuScU. The functional is GGA-PBE.

Summary:
**Crystal system**: hexagonal
**E above lowest polymorph**: 0.038 eV per atom
**Space group**: No. 187

Structure (POSCAR):
```
PuScU
1.0
-1.160 0.144 -2.764
-1.475 -4.763 0.371
-3.046 3.682 1.471
Sc U Pu
1 1 1
direct
0.667 0.333 0.667 Sc
0.167 0.667 0.333 U
0.167 0.000 0.000 Pu
```

Number 1: spin magnetization 0.000 μB/cell. Number 2: spin magnetization 0.000 μB/cell. Number 3: spin magnetization 0.000 μB/cell. Number 4: spin magnetization 0.000 μB/cell. Number 5: spin magnetization 2.826 μB/cell. Number 6: spin magnetization 0.000 μB/cell. Number 7: spin magnetization 3.000 μB/cell. Number 8: spin magnetization 0.000 μB/cell. Number 9: spin magnetization 2.838 μB/cell. Number 10: spin magnetization 3.000 μB/cell. Number 11: spin magnetization 0.000 μB/cell. Number 12: spin magnetization 3.418 μB/cell.